# 1
Density functional theory data (GGA-PBE) for PrErHgTe2 after structural relaxation.

- size of the total moment (μB/cell) = 0.000
- crystal system = tetragonal
- E_tot (eV/atom) = -4.242
- mass density (g/cm3) = 8.57

a = 4.379 Å, b = 4.379 Å, c = 15.439 Å
α = 90.00°, β = 90.00°, γ = 90.00°
Space group P4/nmm (No. 129, origin choice 2)
One atom of each set of equivalent atoms:
Pr 0.250 0.250 0.166 x2
Er 0.250 0.250 0.586 x2
Hg 0.250 0.750 0.000 x2
Te 0.250 0.250 0.388 x2
Te 0.250 0.250 0.787 x2

---

# 2
Density functional theory data (GGA-PBE) for Pr2ErHgTe5 after structural relaxation.

- size of the total moment (μB/cell) = 0.000
- crystal system = orthorhombic
- E_tot (eV/atom) = -4.454
- mass density (g/cm3) = 7.49

a = 4.392 Å, b = 19.149 Å, c = 13.570 Å
α = 90.00°, β = 90.00°, γ = 90.00°
Space group Cmc2_1 (No. 36)
One atom of each set of equivalent atoms:
Pr 0.000 0.120 0.000 x4
Pr 0.000 0.128 0.620 x4
Er 0.000 0.193 0.321 x4
Hg 0.000 0.436 0.781 x4
Te 0.000 0.042 0.409 x4
Te 0.000 0.290 0.979 x4
Te 0.000 0.300 0.655 x4
Te 0.000 0.354 0.315 x4
Te 0.000 0.498 0.595 x4

---

# 3
Density functional theory data (GGA-PBE) for PrEr2TlHg4 after structural relaxation.

- size of the total moment (μB/cell) = 0.000
- crystal system = trigonal
- E_tot (eV/atom) = -2.540
- ΔH_f (0 K) (meV per atom) = -355.0
- mass density (g/cm3) = 11.69

a = 5.1563 Å, b = 5.1563 Å, c = 27.4216 Å
α = 90.00°, β = 90.00°, γ = 120.00°
Space group R-3m (No. 166, hexagonal axes)
One atom of each set of equivalent atoms:
Pr 0.0000 0.0000 0.0000 x3
Er 0.0000 0.0000 0.2396 x6
Tl 0.0000 0.0000 0.5000 x3
Hg 0.0000 0.0000 0.1206 x6
Hg 0.0000 0.0000 0.3775 x6

---

# 4
Density functional theory data (GGA-PBE) for PrErTlHg after structural relaxation.

- ΔE to the lowest computed polymorph (kJ/mol of formula units) = 0.0
- size of the total moment (μB/cell) = 0.637
- crystal system = tetragonal
- E_tot (eV/atom) = -3.423
- ΔH_f (0 K) (meV per atom) = -420.8
- mass density (g/cm3) = 10.64

a = 3.794 Å, b = 3.794 Å, c = 7.729 Å
α = 90.00°, β = 90.00°, γ = 90.00°
Space group P4mm (No. 99)
One atom of each set of equivalent atoms:
Pr 0.000 0.000 0.000 x1
Er 0.000 0.000 0.481 x1
Tl 0.500 0.500 0.726 x1
Hg 0.500 0.500 0.268 x1

---

# 5
Density functional theory data (GGA-PBE) for PrErTlHg after structural relaxation.

- ΔE to the lowest computed polymorph (kJ/mol of formula units) = 6.8
- size of the total moment (μB/cell) = 2.411
- crystal system = cubic
- E_tot (eV/atom) = -3.406
- ΔH_f (0 K) (meV per atom) = -403.1
- mass density (g/cm3) = 10.59

a = 7.649 Å, b = 7.649 Å, c = 7.649 Å
α = 90.00°, β = 90.00°, γ = 90.00°
Space group F-43m (No. 216)
One atom of each set of equivalent atoms:
Pr 0.000 0.000 0.000 x4
Er 0.000 0.000 0.500 x4
Tl 0.250 0.250 0.250 x4
Hg 0.250 0.250 0.750 x4

---

# 6
Density functional theory data (GGA-PBE) for PrEr2TmHg4 after structural relaxation.

- size of the total moment (μB/cell) = 1.650
- crystal system = trigonal
- E_tot (eV/atom) = -2.911
- ΔH_f (0 K) (meV per atom) = -463.2
- mass density (g/cm3) = 11.52

a = 5.2599 Å, b = 5.2599 Å, c = 26.1032 Å
α = 90.00°, β = 90.00°, γ = 120.00°
Space group R-3m (No. 166, hexagonal axes)
One atom of each set of equivalent atoms:
Pr 0.0000 0.0000 0.0000 x3
Er 0.0000 0.0000 0.2485 x6
Tm 0.0000 0.0000 0.5000 x3
Hg 0.0000 0.0000 0.1278 x6
Hg 0.0000 0.0000 0.3793 x6